PrGdO2 | the Alexandria database | PBE | optimized geometry; density of states at the Fermi level = 0.303 states/eV/atom; crystal system = trigonal; final energy = -39.946 eV for the cell shown; formation energy without anion corrections = -2792 meV/atom
1.0
-3.2669 1.0407 -0.7553
-1.6133 -1.2240 -2.8679
-3.8022 -4.5969 1.9520
Gd Pr O
1 1 2
Direct
0.0000 0.0000 0.0000
0.5000 0.5000 0.5000
0.7373 0.7373 0.7882
0.2627 0.2627 0.2118